[1]
A plane-wave DFT calculation with PBE-GGA was carried out for a relaxed structure of NaMnMoN3.

a b c (Å): 3.0640 6.7398 7.9071
angles (deg): 107.42 90.00 90.00
Fractional coordinates of all 12 atoms:
Na 0.2500 0.1936 0.2089
Na 0.7500 0.8064 0.7911
Mn 0.2500 0.1021 0.6062
Mn 0.7500 0.8979 0.3938
Mo 0.2500 0.6524 0.1233
Mo 0.7500 0.3476 0.8767
N 0.7500 0.8754 0.1607
N 0.2500 0.1246 0.8393
N 0.2500 0.8114 0.4692
N 0.7500 0.1886 0.5308
N 0.7500 0.4371 0.1376
N 0.2500 0.5629 0.8624

Values from the calculation:
space group = No. 11
final energy = -7.941 eV per atom
D(E_F) = 6.180 states/eV/cell

=====

[2]
A plane-wave DFT calculation with PBE-GGA was carried out for a relaxed structure of Nd2MnMoN5.

a b c (Å): 3.2713 7.2268 10.0629
angles (deg): 90.00 90.00 103.08
Last column: magnetic moment on the atom in μB.
Fractional coordinates of all 18 atoms:
Nd 0.8701 0.7403 0.8160  0.01
Nd 0.1205 0.2410 0.6927  0.02
Nd 0.1299 0.2597 0.3160  0.01
Nd 0.8795 0.7590 0.1927  0.02
Mn 0.5539 0.1077 0.9484  0.92
Mn 0.4461 0.8923 0.4484  0.92
Mo 0.7944 0.5887 0.5190  -0.07
Mo 0.2056 0.4113 0.0190  -0.07
N 0.3370 0.6740 0.0053  -0.01
N 0.6796 0.3592 0.8768  0.00
N 0.5026 0.0052 0.7890  0.03
N 0.3012 0.6024 0.6544  0.01
N 0.9652 0.9304 0.5223  -0.03
N 0.6630 0.3260 0.5053  -0.01
N 0.3204 0.6408 0.3768  0.00
N 0.4974 0.9948 0.2890  0.03
N 0.6988 0.3976 0.1544  0.01
N 0.0348 0.0696 0.0223  -0.03

Values from the calculation:
space group = No. 36
final energy = -8.679 eV per atom
D(E_F) = 7.305 states/eV/cell

=====

[3]
A plane-wave DFT calculation with PBE-GGA was carried out for a relaxed structure of Mn2NiMoN.

a b c (Å): 3.7352 3.7352 4.0272
angles (deg): 90.00 90.00 90.00
Fractional coordinates of all 5 atoms:
Ni 0.5000 0.5000 0.5000
Mo 0.0000 0.0000 0.5000
Mn 0.0000 0.5000 0.0000
Mn 0.5000 0.0000 0.0000
N 0.0000 0.0000 0.0000

Values from the calculation:
space group = No. 123
final energy = -8.719 eV per atom
D(E_F) = 7.575 states/eV/cell

=====

[4]
A plane-wave DFT calculation with PBE-GGA was carried out for a relaxed structure of Np2MnMoN5.

a b c (Å): 3.1521 6.5614 9.9856
angles (deg): 90.00 90.00 103.90
Last column: magnetic moment on the atom in μB.
Fractional coordinates of all 18 atoms:
Np 0.8547 0.7094 0.8103  2.66
Np 0.1060 0.2120 0.6812  2.77
Np 0.1453 0.2906 0.3103  2.66
Np 0.8940 0.7880 0.1812  2.77
Mn 0.5368 0.0736 0.9560  0.89
Mn 0.4632 0.9264 0.4560  0.89
Mo 0.8020 0.6040 0.5101  -0.07
Mo 0.1980 0.3960 0.0101  -0.07
N 0.3696 0.7393 0.9985  -0.13
N 0.6786 0.3572 0.8651  -0.08
N 0.4870 0.9740 0.7780  -0.17
N 0.2830 0.5659 0.6592  -0.11
N 0.9526 0.9052 0.5657  -0.08
N 0.6304 0.2607 0.4985  -0.13
N 0.3214 0.6428 0.3651  -0.08
N 0.5130 0.0260 0.2780  -0.17
N 0.7170 0.4341 0.1592  -0.11
N 0.0474 0.0948 0.0657  -0.08

Values from the calculation:
space group = No. 36
final energy = -10.509 eV per atom
D(E_F) = 18.964 states/eV/cell

=====

| no. | formation energy (no corrections) (eV/atom) |
| --- | --- |
| 1 | -0.23 |
| 2 | -0.77 |
| 3 | -0.06 |
| 4 | -0.79 |